A relaxed ScHgI3 crystal, computed with PBE-GGA.

Geometry as CIF:
```
data_ScHgI3
_chemical_formula_sum 'Sc4 Hg4 I12'
_cell_length_a 8.721
_cell_length_b 14.441
_cell_length_c 8.994
_cell_angle_alpha 90.00
_cell_angle_beta 90.00
_cell_angle_gamma 90.00
_symmetry_space_group_name_H-M 'C m c m'
_symmetry_Int_Tables_number 63
_symmetry_space_group_name_Hall '-C 2c 2'
loop_
_atom_site_label
_atom_site_type_symbol
_atom_site_fract_x
_atom_site_fract_y
_atom_site_fract_z
_atom_site_occupancy
Sc1 Sc 0.000 0.118 0.250 1
Hg1 Hg 0.000 0.466 0.250 1
I1 I 0.000 0.000 0.000 1
I2 I 0.249 0.222 0.250 1
```

Crystal system: orthorhombic
Energy relative to the lowest polymorph listed for this composition: 174 meV per atom
Magnetic moment: 0.00 μB per cell
Total energy: -3.05 eV per atom
Calculated volume: 1132.7 Å³ per cell



A relaxed DyZrGa4 crystal, computed with PBE-GGA.

Geometry as CIF:
```
data_DyZrGa4
_chemical_formula_sum 'Dy2 Zr2 Ga8'
_cell_length_a 4.035
_cell_length_b 4.035
_cell_length_c 14.496
_cell_angle_alpha 90.00
_cell_angle_beta 90.00
_cell_angle_gamma 90.00
_symmetry_space_group_name_H-M 'I -4 m 2'
_symmetry_Int_Tables_number 119
_symmetry_space_group_name_Hall 'I -4 -2'
loop_
_atom_site_label
_atom_site_type_symbol
_atom_site_fract_x
_atom_site_fract_y
_atom_site_fract_z
_atom_site_occupancy
Dy1 Dy 0.000 0.000 0.000 1
Zr1 Zr 0.000 0.500 0.250 1
Ga1 Ga 0.000 0.000 0.416 1
Ga2 Ga 0.000 0.500 0.669 1
```

Crystal system: tetragonal
Energy relative to the lowest polymorph listed for this composition: 13 meV per atom
Energy relative to the elements: -3.2 eV/f.u.
Magnetic moment: 0.00 μB per cell
Total energy: -4.74 eV per atom
Calculated volume: 236.0 Å³ per cell



A relaxed CaSm6Dy12 crystal, computed with PBE-GGA.

Geometry as CIF:
```
data_CaSm6Dy12
_chemical_formula_sum 'Ca3 Sm18 Dy36'
_cell_length_a 14.9291
_cell_length_b 14.9291
_cell_length_c 10.5939
_cell_angle_alpha 90.00
_cell_angle_beta 90.00
_cell_angle_gamma 120.00
_symmetry_space_group_name_H-M 'R -3 m'
_symmetry_Int_Tables_number 166
_symmetry_space_group_name_Hall '-R 3 2"'
loop_
_atom_site_label
_atom_site_type_symbol
_atom_site_fract_x
_atom_site_fract_y
_atom_site_fract_z
_atom_site_occupancy
Ca1 Ca 0.0000 0.0000 0.0000 1
Sm1 Sm 0.0732 0.5366 0.2235 1
Dy1 Dy 0.0000 0.3869 0.5000 1
Dy2 Dy 0.0800 0.1600 0.2576 1
```

Crystal system: trigonal
Energy relative to the elements: 8.4 eV/f.u.
Magnetic moment: 0.01 μB per cell
Total energy: -4.06 eV per atom
Calculated volume: 2044.8 Å³ per cell



A relaxed Pm2Nd3Ga4 crystal, computed with PBE-GGA.

Geometry as CIF:
```
data_Pm2Nd3Ga4
_chemical_formula_sum 'Pm4 Nd6 Ga8'
_cell_length_a 12.097
_cell_length_b 4.550
_cell_length_c 10.067
_cell_angle_alpha 90.00
_cell_angle_beta 118.95
_cell_angle_gamma 90.00
_symmetry_space_group_name_H-M 'C 1 2/m 1'
_symmetry_Int_Tables_number 12
loop_
_symmetry_equiv_pos_as_xyz
'x,y,z'
'-x,-y,-z'
'-x,y,-z'
'x,-y,z'
'x+1/2,y+1/2,z'
'-x+1/2,-y+1/2,-z'
'-x+1/2,y+1/2,-z'
'x+1/2,-y+1/2,z'
loop_
_atom_site_label
_atom_site_type_symbol
_atom_site_fract_x
_atom_site_fract_y
_atom_site_fract_z
_atom_site_occupancy
Pm1 Pm 0.155 0.000 0.317 1
Nd1 Nd 0.000 0.500 0.000 1
Nd2 Nd 0.140 0.000 0.702 1
Ga1 Ga 0.063 0.500 0.423 1
Ga2 Ga 0.205 0.000 0.040 1
```

Crystal system: monoclinic
Energy relative to the lowest polymorph listed for this composition: 83 meV per atom
Energy relative to the elements: -3.9 eV/f.u.
Magnetic moment: 0.00 μB per cell
Total energy: -4.42 eV per atom
Calculated volume: 484.8 Å³ per cell



A relaxed YAl3NiAg crystal, computed with PBE-GGA.

Geometry as CIF:
```
data_YAl3NiAg
_chemical_formula_sum 'Y4 Al12 Ni4 Ag4'
_cell_length_a 5.992
_cell_length_b 12.496
_cell_length_c 5.866
_cell_angle_alpha 90.00
_cell_angle_beta 90.00
_cell_angle_gamma 90.00
_symmetry_space_group_name_H-M 'C m c m'
_symmetry_Int_Tables_number 63
_symmetry_space_group_name_Hall '-C 2c 2'
loop_
_atom_site_label
_atom_site_type_symbol
_atom_site_fract_x
_atom_site_fract_y
_atom_site_fract_z
_atom_site_occupancy
Y1 Y 0.000 0.219 0.250 1
Al1 Al 0.000 0.367 0.750 1
Al2 Al 0.220 0.000 0.000 1
Ni1 Ni 0.000 0.428 0.250 1
Ag1 Ag 0.000 0.155 0.750 1
```

Crystal system: orthorhombic
Energy relative to the elements: -1.9 eV/f.u.
Magnetic moment: 0.00 μB per cell
Total energy: -4.71 eV per atom
Calculated volume: 439.2 Å³ per cell



A relaxed ZrCu4P crystal, computed with PBE-GGA.

Geometry as CIF:
```
data_ZrCu4P
_chemical_formula_sum 'Zr4 Cu16 P4'
_cell_length_a 6.982
_cell_length_b 6.982
_cell_length_c 6.982
_cell_angle_alpha 90.00
_cell_angle_beta 90.00
_cell_angle_gamma 90.00
_symmetry_space_group_name_H-M 'F -4 3 m'
_symmetry_Int_Tables_number 216
_symmetry_space_group_name_Hall 'F -4 2 3'
loop_
_atom_site_label
_atom_site_type_symbol
_atom_site_fract_x
_atom_site_fract_y
_atom_site_fract_z
_atom_site_occupancy
Zr1 Zr 0.000 0.000 0.000 1
Cu1 Cu 0.125 0.125 0.625 1
P1 P 0.250 0.250 0.250 1
```

Crystal system: cubic
Energy relative to the elements: 0.1 eV/f.u.
Magnetic moment: 0.00 μB per cell
Total energy: -5.05 eV per atom
Calculated volume: 340.4 Å³ per cell